Pm3Y3AgTe8: relaxed, PBE.

Values from the calculation:
Uncorrected energy: -5.355 eV/atom
Crystal system: trigonal
E_form (uncorrected): -18.70 eV per formula unit
Fermi-level density of states: 0.3001 states/eV/atom

```
Pm3Y3AgTe8
1.0
4.398 2.539 7.184
-4.398 2.539 7.184
0.000 -5.078 7.184
Pm Y Ag Te
3 3 1 8
direct
0.000 0.500 0.500 Pm
0.500 0.000 0.500 Pm
0.500 0.500 0.000 Pm
0.000 0.000 0.500 Y
0.000 0.500 0.000 Y
0.500 0.000 0.000 Y
0.500 0.500 0.500 Ag
0.243 0.752 0.752 Te
0.248 0.248 0.248 Te
0.248 0.248 0.757 Te
0.248 0.757 0.248 Te
0.752 0.243 0.752 Te
0.752 0.752 0.243 Te
0.752 0.752 0.752 Te
0.757 0.248 0.248 Te
```

PmThAg4: relaxed, PBE.

Values from the calculation:
Uncorrected energy: -4.128 eV/atom
Crystal system: orthorhombic
Energy relative to the elements: -0.20 eV/atom
Fermi-level density of states: 1.0166 states/eV/atom

```
PmThAg4
1.0
3.422 0.000 0.000
0.000 4.855 0.000
0.000 0.000 8.439
Pm Th Ag
1 1 4
direct
0.000 0.000 0.000 Pm
0.000 0.500 0.500 Th
0.500 0.000 0.333 Ag
0.500 0.000 0.667 Ag
0.500 0.500 0.166 Ag
0.500 0.500 0.834 Ag
```

PmTh2Ag: relaxed, PBE.

Values from the calculation:
Uncorrected energy: -5.446 eV/atom
Crystal system: cubic
Energy relative to the elements: 0.16 eV/atom
Fermi-level density of states: 1.3697 states/eV/atom

```
PmTh2Ag
1.0
0.000 3.853 3.853
3.853 0.000 3.853
3.853 3.853 0.000
Pm Th Ag
1 2 1
direct
0.000 0.000 0.000 Pm
0.250 0.250 0.250 Th
0.750 0.750 0.750 Th
0.500 0.500 0.500 Ag
```

PmThAg: relaxed, PBE.

Values from the calculation:
Uncorrected energy: -5.079 eV/atom
Crystal system: tetragonal
Energy relative to the elements: -0.07 eV/atom
Fermi-level density of states: 1.3297 states/eV/atom

```
PmThAg
1.0
-1.838 1.838 6.407
1.838 -1.838 6.407
1.838 1.838 -6.407
Pm Th Ag
1 1 1
direct
0.000 0.000 0.000 Pm
0.694 0.694 0.000 Th
0.349 0.349 0.000 Ag
```

PmTh2Ag6: relaxed, PBE.

Values from the calculation:
Uncorrected energy: -4.258 eV/atom
Crystal system: hexagonal
Energy relative to the elements: -0.18 eV/atom
Fermi-level density of states: 0.9743 states/eV/atom

```
PmTh2Ag6
1.0
8.443 0.000 0.000
-4.222 7.312 0.000
0.000 0.000 3.406
Pm Th Ag
1 2 6
direct
0.000 0.000 0.000 Pm
0.333 0.667 0.000 Th
0.667 0.333 0.000 Th
0.000 0.333 0.500 Ag
0.000 0.667 0.500 Ag
0.333 0.000 0.500 Ag
0.333 0.333 0.500 Ag
0.667 0.000 0.500 Ag
0.667 0.667 0.500 Ag
```

Pm2ThAg3: relaxed, PBE.

Values from the calculation:
Uncorrected energy: -4.431 eV/atom
Crystal system: tetragonal
Energy relative to the elements: -0.19 eV/atom
Fermi-level density of states: 0.9347 states/eV/atom

```
Pm2ThAg3
1.0
3.687 0.000 0.000
0.000 3.687 0.000
0.000 0.000 11.454
Pm Th Ag
2 1 3
direct
0.000 0.000 0.165 Pm
0.000 0.000 0.835 Pm
0.000 0.000 0.500 Th
0.500 0.500 0.000 Ag
0.500 0.500 0.327 Ag
0.500 0.500 0.673 Ag
```

Pm2ThAg: relaxed, PBE.

Values from the calculation:
Uncorrected energy: -4.693 eV/atom
Crystal system: trigonal
Energy relative to the elements: 0.25 eV/atom
Fermi-level density of states: 1.0513 states/eV/atom

```
Pm2ThAg
1.0
1.767 1.020 11.709
-1.767 1.020 11.709
0.000 -2.040 11.709
Pm Th Ag
2 1 1
direct
0.086 0.086 0.086 Pm
0.914 0.914 0.914 Pm
0.500 0.500 0.500 Th
0.000 0.000 0.000 Ag
```

Pm5ThAg4: relaxed, PBE.

Values from the calculation:
Uncorrected energy: -4.470 eV/atom
Crystal system: tetragonal
Energy relative to the elements: -0.21 eV/atom
Fermi-level density of states: 0.7704 states/eV/atom

```
Pm5ThAg4
1.0
3.699 0.000 0.000
0.000 3.699 0.000
0.000 0.000 19.936
Pm Th Ag
5 1 4
direct
0.000 0.000 0.000 Pm
0.000 0.000 0.190 Pm
0.000 0.000 0.380 Pm
0.000 0.000 0.620 Pm
0.000 0.000 0.810 Pm
0.500 0.500 0.500 Th
0.500 0.500 0.095 Ag
0.500 0.500 0.284 Ag
0.500 0.500 0.716 Ag
0.500 0.500 0.905 Ag
```

PmTh2Ag: relaxed, PBE.

Values from the calculation:
Uncorrected energy: -5.572 eV/atom
Crystal system: tetragonal
Energy relative to the elements: 0.04 eV/atom
Fermi-level density of states: 1.1241 states/eV/atom

```
PmTh2Ag
1.0
3.610 0.000 0.000
0.000 3.610 0.000
0.000 0.000 9.197
Pm Th Ag
1 2 1
direct
0.000 0.000 0.000 Pm
0.500 0.500 0.279 Th
0.500 0.500 0.721 Th
0.000 0.000 0.500 Ag
```

Pm2ThAg: relaxed, PBE.

Values from the calculation:
Uncorrected energy: -4.909 eV/atom
Crystal system: monoclinic
Energy relative to the elements: 0.03 eV/atom
Fermi-level density of states: 1.6149 states/eV/atom

```
Pm2ThAg
1.0
3.108 -1.797 0.000
3.108 1.797 0.000
-2.067 0.000 10.832
Pm Th Ag
2 1 1
direct
0.000 0.000 0.000 Pm
0.184 0.184 0.551 Pm
0.426 0.426 0.274 Th
0.592 0.592 0.775 Ag
```

Pm2ThAg: relaxed, PBE.

Values from the calculation:
Uncorrected energy: -5.067 eV/atom
Crystal system: tetragonal
Energy relative to the elements: -0.12 eV/atom
Fermi-level density of states: 1.1830 states/eV/atom

```
Pm2ThAg
1.0
3.687 0.000 0.000
0.000 3.687 0.000
0.000 0.000 8.603
Pm Th Ag
2 1 1
direct
0.000 0.000 0.222 Pm
0.000 0.000 0.778 Pm
0.500 0.500 0.500 Th
0.500 0.500 0.000 Ag
```

PmThAg: relaxed, PBE.

Values from the calculation:
Uncorrected energy: -4.895 eV/atom
Crystal system: trigonal
Energy relative to the elements: 0.11 eV/atom
Fermi-level density of states: 0.9986 states/eV/atom

```
PmThAg
1.0
5.188 0.000 0.000
-2.594 4.493 0.000
0.000 0.000 3.531
Pm Th Ag
1 1 1
direct
0.000 0.000 0.000 Pm
0.333 0.667 0.386 Th
0.667 0.333 0.671 Ag
```